Na4Pr3MoO8 | the Alexandria database | GGA+U | relaxed; D(E_F) = 0.000 states/eV/atom; magnetic moment = 3.00 Bohr magnetons per cell; total energy = -0.2373 hartree per atom
1.0
-2.0028 -3.2846 -5.9054
-3.6713 -4.5406 3.7706
-1.0693 6.9292 0.7145
O Na Mo Pr
8 4 1 3
direct
0.2296 0.7160 0.9865 O
0.2598 0.2796 0.5196 O
0.2431 0.2840 0.0135 O
0.7402 0.7204 0.4804 O
0.7704 0.2840 0.0135 O
0.7569 0.7160 0.9865 O
0.2296 0.7160 0.4592 O
0.7704 0.2840 0.5408 O
0.0000 0.0000 0.5000 Na
0.5000 0.0000 0.0000 Na
0.5000 0.0000 0.5000 Na
0.0000 0.0000 0.0000 Na
0.0000 0.5000 0.0000 Mo
0.0000 0.5000 0.5000 Pr
0.5000 0.5000 0.0000 Pr
0.5000 0.5000 0.5000 Pr